Cr9FeB6: relaxed, PBE.

The structure belongs to space group I4/m (No. 87); the cell edges are 5.3851, 5.3851 and 10.0337 Å and the angles 90.00°, 90.00° and 90.00°. The asymmetric unit holds Cr at (0.0000, 0.0000, 0.0000), Cr at (0.1701, 0.3276, 0.1475), Fe at (0.0000, 0.0000, 0.5000), B at (0.0000, 0.0000, 0.2476) and B at (0.1154, 0.3774, 0.5000).

For the formation energy from the elements, the calculation gives -0.419 eV/atom. Its volume is 9.09 Å³/atom. The value obtained for the total energy is -8.8654 eV/atom.